Entry 1:
First-principles (PBE) data for a relaxed structure of Rb2NbBr, as listed in Alexandria.

Cell: 6.1865 6.1865 6.1865 Å, 60.00 60.00 60.00°
Site moments in Bohr magnetons follow the coordinates.
Fractional coordinates of all 4 atoms:
Rb (0.7500, 0.7500, 0.7500)  0.06
Br (0.0000, 0.0000, 0.0000)  0.06
Rb (0.2500, 0.2500, 0.2500)  0.06
Nb (0.5000, 0.5000, 0.5000)  3.47

Computed properties:
The relative energy among the computed polymorphs is 139.1 meV/atom. The theoretical density is 3.4 g/cm3. The size of the total moment is 1.399 μB/atom. The calculation puts the density of states at the Fermi level at 2.62 states/eV per atom. Its raw formation energy is 0.581 eV/atom. The value obtained for the raw total energy is -2.838 eV/atom.

Entry 2:
First-principles (PBE) data for a relaxed structure of Rb5Nb2Br12, as listed in Alexandria.

Cell: 7.4643 10.3760 11.2645 Å, 105.84 90.00 111.08°
Site moments in Bohr magnetons follow the coordinates.
Fractional coordinates of all 19 atoms:
Br (0.3988, 0.3016, 0.5876)  0.00
Br (0.1243, 0.7239, 0.9310)  0.01
Br (0.9028, 0.3016, 0.5876)  0.00
Br (0.5996, 0.7239, 0.9310)  0.01
Br (0.0972, 0.6984, 0.4124)  0.00
Rb (0.7002, 0.4004, 0.3799)  0.00
Rb (0.3042, 0.6083, 0.1676)  0.00
Br (0.0004, 0.0008, 0.1534)  0.00
Br (0.9996, 0.9992, 0.8466)  0.00
Nb (0.7080, 0.0000, 0.0000)  0.52
Br (0.6012, 0.6984, 0.4124)  0.00
Rb (0.2998, 0.5996, 0.6201)  0.00
Br (0.4004, 0.2761, 0.0690)  0.01
Rb (0.0000, 0.0000, 0.5000)  0.00
Br (0.4995, 0.9990, 0.8139)  0.01
Rb (0.6958, 0.3917, 0.8324)  0.00
Br (0.5005, 0.0010, 0.1861)  0.01
Br (0.8757, 0.2761, 0.0690)  0.01
Nb (0.2920, 0.0000, 0.0000)  0.52

Computed properties:
The theoretical density is 3.4 g/cm3. The size of the total moment is 0.070 μB/atom. The calculation puts the density of states at the Fermi level at 0.35 states/eV per atom. Its raw formation energy is -1.254 eV/atom. The value obtained for the raw total energy is -3.625 eV/atom.

Entry 3:
First-principles (PBE) data for a relaxed structure of RbNbBr3, as listed in Alexandria.

Cell: 7.7515 7.7515 7.7495 Å, 59.99 59.99 90.00°
Site moments in Bohr magnetons follow the coordinates.
Fractional coordinates of all 10 atoms:
Br (0.2500, 0.2500, 0.0000)  0.03
Br (0.2500, 0.2500, 0.5000)  0.03
Br (0.7500, 0.7500, 0.0000)  0.03
Rb (0.2500, 0.7500, 0.5000)  0.00
Nb (0.0000, 0.0000, 0.0000)  2.36
Br (0.7500, 0.7500, 0.5000)  0.03
Br (0.2500, 0.7500, 0.0000)  0.03
Rb (0.7500, 0.2500, 0.5000)  0.00
Nb (0.5000, 0.5000, 0.0000)  2.36
Br (0.7500, 0.2500, 0.0000)  0.03

Computed properties:
The relative energy among the computed polymorphs is 170.5 meV/atom. The theoretical density is 4.2 g/cm3. The size of the total moment is 0.600 μB/atom. The calculation puts the density of states at the Fermi level at 0.12 states/eV per atom. Its raw formation energy is -0.864 eV/atom. The value obtained for the raw total energy is -4.075 eV/atom.

Entry 4:
First-principles (PBE) data for a relaxed structure of RbNbBr5, as listed in Alexandria.

Cell: 8.2453 8.2453 11.0547 Å, 83.40 116.56 123.68°
Site moments in Bohr magnetons follow the coordinates.
Fractional coordinates of all 14 atoms:
Br (0.3200, 0.0700, 0.2500)  -0.01
Br (0.8300, 0.1104, 0.4612)  0.01
Br (0.8508, 0.6312, 0.9612)  0.01
Br (0.6800, 0.9300, 0.7500)  -0.01
Rb (0.7645, 0.5145, 0.2500)  0.00
Nb (0.0000, 0.0000, 0.0000)  0.84
Br (0.7373, 0.9167, 0.0969)  0.01
Br (0.2627, 0.0833, 0.9031)  0.01
Nb (0.5000, 0.0000, 0.5000)  0.84
Br (0.6801, 0.3595, 0.5969)  0.01
Br (0.3199, 0.6405, 0.4031)  0.01
Rb (0.2355, 0.4855, 0.7500)  0.00
Br (0.1492, 0.3688, 0.0388)  0.01
Br (0.1700, 0.8896, 0.5388)  0.01

Computed properties:
The theoretical density is 3.5 g/cm3. The size of the total moment is 0.143 μB/atom. The calculation puts the density of states at the Fermi level at 0.70 states/eV per atom. Its raw formation energy is -1.067 eV/atom. The value obtained for the raw total energy is -3.839 eV/atom.

Entry 5:
First-principles (PBE) data for a relaxed structure of RbNbBr2, as listed in Alexandria.

Cell: 6.3464 6.3464 9.2579 Å, 69.96 69.96 90.00°
Site moments in Bohr magnetons follow the coordinates.
Fractional coordinates of all 8 atoms:
Rb (0.5000, 0.5000, 0.0000)  0.01
Nb (0.7500, 0.2500, 0.5000)  2.81
Br (0.8750, 0.9725, 0.7500)  0.01
Br (0.0275, 0.6250, 0.2500)  0.01
Br (0.7225, 0.1250, 0.2500)  0.01
Rb (0.2500, 0.7500, 0.5000)  0.01
Br (0.3750, 0.2775, 0.7500)  0.02
Nb (0.0000, 0.0000, 0.0000)  2.81

Computed properties:
The relative energy among the computed polymorphs is 0.0 meV/atom. The theoretical density is 3.4 g/cm3. The size of the total moment is 0.992 μB/atom. The calculation puts the density of states at the Fermi level at 0.19 states/eV per atom. Its raw formation energy is -0.241 eV/atom. The value obtained for the raw total energy is -3.837 eV/atom.

Entry 6:
First-principles (PBE) data for a relaxed structure of Rb2NbBr7, as listed in Alexandria.

Cell: 8.5389 10.7365 9.9407 Å, 85.24 64.56 66.57°
Site moments in Bohr magnetons follow the coordinates.
Fractional coordinates of all 20 atoms:
Nb (0.0440, 0.7500, 0.2500)  0.06
Br (0.9798, 0.2932, 0.4725)  0.00
Rb (0.2478, 0.5371, 0.7767)  0.00
Rb (0.4383, 0.0371, 0.2767)  0.00
Br (0.1270, 0.9960, 0.6798)  0.00
Br (0.7456, 0.2068, 0.0275)  0.00
Br (0.8730, 0.0040, 0.3202)  0.00
Br (0.8028, 0.5040, 0.8202)  0.00
Br (0.6436, 0.2500, 0.7500)  0.00
Br (0.6938, 0.7409, 0.4282)  0.00
Br (0.0202, 0.7068, 0.5275)  0.00
Br (0.2544, 0.7932, 0.9725)  0.00
Rb (0.5617, 0.9629, 0.7233)  0.00
Rb (0.7522, 0.4629, 0.2233)  0.00
Br (0.1371, 0.2409, 0.9282)  0.00
Br (0.8629, 0.7591, 0.0718)  0.00
Br (0.3062, 0.2591, 0.5718)  0.00
Br (0.1972, 0.4960, 0.1798)  0.00
Br (0.3564, 0.7500, 0.2500)  0.00
Nb (0.9560, 0.2500, 0.7500)  0.06

Computed properties:
The relative energy among the computed polymorphs is 0.0 meV/atom. The theoretical density is 3.6 g/cm3. The size of the total moment is 0.006 μB/atom. The calculation puts the density of states at the Fermi level at 0.03 states/eV per atom. Its raw formation energy is -1.125 eV/atom. The value obtained for the raw total energy is -3.497 eV/atom.

Entry 7:
First-principles (PBE) data for a relaxed structure of Rb3NbBr7, as listed in Alexandria.

Cell: 7.8869 7.8869 8.5982 Å, 64.02 64.02 86.25°
Site moments in Bohr magnetons follow the coordinates.
Fractional coordinates of all 11 atoms:
Nb (0.9541, 0.9541, 0.0423)  0.90
Br (0.6525, 0.1222, 0.1836)  -0.01
Br (0.1222, 0.6525, 0.1836)  -0.01
Rb (0.5076, 0.5076, 0.9086)  0.00
Br (0.8004, 0.8004, 0.9118)  0.00
Br (0.2966, 0.9926, 0.7370)  -0.01
Rb (0.7680, 0.2249, 0.4912)  0.00
Br (0.9926, 0.2966, 0.7370)  -0.01
Br (0.6768, 0.6768, 0.4190)  -0.01
Rb (0.2249, 0.7680, 0.4912)  0.00
Br (0.1296, 0.1296, 0.1448)  0.01

Computed properties:
The theoretical density is 3.5 g/cm3. The size of the total moment is 0.091 μB/atom. The calculation puts the density of states at the Fermi level at 0.52 states/eV per atom. Its raw formation energy is -1.264 eV/atom. The value obtained for the raw total energy is -3.508 eV/atom.

Entry 8:
First-principles (PBE) data for a relaxed structure of RbNb3Br, as listed in Alexandria.

Cell: 4.9247 4.9247 4.9247 Å, 90.00 90.00 90.00°
Fractional coordinates of all 5 atoms:
Nb (0.5000, 0.0000, 0.0000)
Nb (0.0000, 0.0000, 0.5000)
Br (0.5000, 0.5000, 0.5000)
Rb (0.0000, 0.0000, 0.0000)
Nb (0.0000, 0.5000, 0.0000)

Computed properties:
The relative energy among the computed polymorphs is 1346.3 meV/atom. The theoretical density is 6.2 g/cm3. The size of the total moment is 0.000 μB/atom. The calculation puts the density of states at the Fermi level at 1.54 states/eV per atom. Its raw formation energy is 2.927 eV/atom. The value obtained for the raw total energy is -3.643 eV/atom.

> Which value of raw formation energy does entry 6 give?

-1.125 eV/atom